Compound: MgTa2Fe
Source: Alexandria
Functional: PBE
Structure: relaxed

## Properties
DFT formation energy	40	kJ per mole of atoms
DFT total energy	-32.1	eV/cell
ρ	11.06	g/cm³

Cell: 4.5443 4.5443 4.5443 Å, 60.00 60.00 60.00°
Site moments in Bohr magnetons follow the coordinates.
Positions (direct):
Fe (0.5000, 0.5000, 0.5000)  1.78
Mg (0.7500, 0.7500, 0.7500)  -0.01
Ta (0.0000, 0.0000, 0.0000)  0.55
Ta (0.2500, 0.2500, 0.2500)  -0.14

Compound: MgTaFe2
Source: Alexandria
Functional: PBE
Structure: relaxed

## Properties
DFT formation energy	22	kJ per mole of atoms
DFT total energy	-29.5	eV/cell
ρ	9.25	g/cm³

Cell: 5.0252 5.0252 5.0252 Å, 137.65 137.65 61.43°
Site moments in Bohr magnetons follow the coordinates.
Positions (direct):
Fe (0.0000, 0.0000, 0.0000)  1.96
Fe (0.2500, 0.7500, 0.5000)  1.04
Mg (0.5000, 0.5000, 0.0000)  -0.03
Ta (0.7500, 0.2500, 0.5000)  -0.45

Compound: MgTa3Fe
Source: Alexandria
Functional: PBE
Structure: relaxed

## Properties
DFT formation energy	65	kJ per mole of atoms
DFT total energy	-42.3	eV/cell
ρ	10.45	g/cm³

Cell: 4.6262 4.6262 4.6262 Å, 90.00 90.00 90.00°
Positions (direct):
Mg (0.5000, 0.5000, 0.5000)
Fe (0.0000, 0.0000, 0.0000)
Ta (0.0000, 0.5000, 0.0000)
Ta (0.0000, 0.0000, 0.5000)
Ta (0.5000, 0.0000, 0.0000)

Compound: MgTa2Fe
Source: Alexandria
Functional: PBE
Structure: relaxed

## Properties
DFT formation energy	29	kJ per mole of atoms
DFT total energy	-32.6	eV/cell
ρ	11.01	g/cm³

Cell: 5.4128 5.3497 2.7257 Å, 78.95 80.96 116.48°
Site moments in Bohr magnetons follow the coordinates.
Positions (direct):
Fe (0.5000, 0.5000, 0.0000)  2.06
Mg (0.5000, 0.0000, 0.5000)  -0.01
Ta (0.0000, 0.0000, 0.0000)  -0.13
Ta (0.0000, 0.5000, 0.5000)  -0.13

Compound: MgTa2Fe
Source: Alexandria
Functional: PBE
Structure: relaxed

## Properties
DFT formation energy	32	kJ per mole of atoms
DFT total energy	-32.4	eV/cell
ρ	11.10	g/cm³

Cell: 4.9067 4.9067 4.9067 Å, 130.83 130.83 72.08°
Site moments in Bohr magnetons follow the coordinates.
Positions (direct):
Fe (0.2500, 0.7500, 0.5000)  2.02
Mg (0.7500, 0.2500, 0.5000)  0.00
Ta (0.0000, 0.0000, 0.0000)  -0.05
Ta (0.5000, 0.5000, 0.0000)  -0.05

Compound: MgTa2Fe
Source: Alexandria
Functional: PBE
Structure: relaxed

## Properties
DFT formation energy	15	kJ per mole of atoms
DFT total energy	-33.1	eV/cell
ρ	10.84	g/cm³

Cell: 2.8544 2.8544 8.3189 Å, 90.00 90.00 92.78°
Positions (direct):
Fe (0.5000, 0.5000, 0.2500)
Mg (0.5000, 0.5000, 0.7500)
Ta (0.0000, 0.0000, 0.0479)
Ta (0.0000, 0.0000, 0.4521)

Compound: MgTaFe2
Source: Alexandria
Functional: PBE
Structure: relaxed

## Properties
DFT formation energy	30	kJ per mole of atoms
DFT total energy	-29.1	eV/cell
ρ	8.43	g/cm³

Cell: 8.4736 8.4736 8.4736 Å, 20.02 20.02 20.02°
Site moments in Bohr magnetons follow the coordinates.
Positions (direct):
Fe (0.0054, 0.0054, 0.0054)  1.97
Fe (0.4946, 0.4946, 0.4946)  1.97
Mg (0.2500, 0.2500, 0.2500)  -0.01
Ta (0.7500, 0.7500, 0.7500)  -0.32

Compound: Mg4TaFe
Source: Alexandria
Functional: PBE
Structure: relaxed

## Properties
DFT formation energy	63	kJ per mole of atoms
DFT total energy	-22.7	eV/cell
ρ	4.86	g/cm³

Cell: 5.4429 5.4429 5.4429 Å, 60.00 60.00 60.00°
Site moments in Bohr magnetons follow the coordinates.
Positions (direct):
Mg (0.8739, 0.3754, 0.3754)  -0.01
Mg (0.3754, 0.3754, 0.8739)  -0.01
Mg (0.3754, 0.8739, 0.3754)  -0.01
Mg (0.3754, 0.3754, 0.3754)  -0.01
Ta (0.7500, 0.7500, 0.7500)  -0.75
Fe (0.0000, 0.0000, 0.0000)  2.92

Compound: MgTaFe
Source: Alexandria
Functional: PBE
Structure: relaxed

## Properties
DFT formation energy	108	kJ per mole of atoms
DFT total energy	-18.6	eV/cell
ρ	7.74	g/cm³

Cell: 4.2944 4.2944 4.2944 Å, 60.00 60.00 60.00°
Site moments in Bohr magnetons follow the coordinates.
Positions (direct):
Fe (0.0000, 0.0000, 0.0000)  0.94
Mg (0.5000, 0.5000, 0.5000)  -0.01
Ta (0.7500, 0.7500, 0.7500)  -0.28

Compound: MgTa4Fe
Source: Alexandria
Functional: PBE
Structure: relaxed

## Properties
DFT formation energy	57	kJ per mole of atoms
DFT total energy	-53.9	eV/cell
ρ	11.69	g/cm³

Cell: 5.4455 5.4455 5.4455 Å, 60.00 60.00 60.00°
Site moments in Bohr magnetons follow the coordinates.
Positions (direct):
Mg (0.0000, 0.0000, 0.0000)  -0.01
Ta (0.8762, 0.3746, 0.3746)  -0.14
Ta (0.3746, 0.3746, 0.8762)  -0.14
Ta (0.3746, 0.8762, 0.3746)  -0.14
Ta (0.3746, 0.3746, 0.3746)  -0.14
Fe (0.7500, 0.7500, 0.7500)  2.58

Compound: MgTaFe2
Source: Alexandria
Functional: PBE
Structure: relaxed

## Properties
DFT formation energy	7	kJ per mole of atoms
DFT total energy	-30.1	eV/cell
ρ	9.58	g/cm³

Cell: 4.2546 4.2546 3.0361 Å, 90.00 90.00 90.00°
Site moments in Bohr magnetons follow the coordinates.
Positions (direct):
Fe (0.0000, 0.0000, 0.0000)  0.46
Fe (0.5000, 0.5000, 0.0000)  0.46
Mg (0.5000, 0.0000, 0.5000)  -0.01
Ta (0.0000, 0.5000, 0.5000)  -0.15

Compound: MgTaFe2
Source: Alexandria
Functional: PBE
Structure: relaxed

## Properties
DFT formation energy	20	kJ per mole of atoms
DFT total energy	-29.5	eV/cell
ρ	8.93	g/cm³

Cell: 4.4162 2.6976 5.0157 Å, 80.40 90.00 90.00°
Site moments in Bohr magnetons follow the coordinates.
Positions (direct):
Fe (0.0000, 0.0632, 0.9938)  2.09
Fe (0.5000, 0.1993, 0.2567)  2.08
Mg (0.0000, 0.4867, 0.4658)  -0.03
Ta (0.5000, 0.7507, 0.7837)  -0.35

Compound: MgTaFe2
Source: Alexandria
Functional: PBE
Structure: relaxed

## Properties
DFT formation energy	31	kJ per mole of atoms
DFT total energy	-29.1	eV/cell
ρ	8.76	g/cm³

Cell: 4.5348 4.5348 5.2487 Å, 85.74 85.74 33.95°
Site moments in Bohr magnetons follow the coordinates.
Positions (direct):
Fe (0.0022, 0.0022, 0.0073)  2.19
Fe (0.4978, 0.4978, 0.4927)  2.19
Mg (0.7500, 0.7500, 0.7500)  -0.01
Ta (0.2500, 0.2500, 0.2500)  -0.26

Compound: MgTa2Fe
Source: Alexandria
Functional: PBE
Structure: relaxed

## Properties
DFT formation energy	22	kJ per mole of atoms
DFT total energy	-32.8	eV/cell
ρ	10.77	g/cm³

Cell: 2.7854 2.7854 8.7873 Å, 90.00 90.00 90.00°
Site moments in Bohr magnetons follow the coordinates.
Positions (direct):
Fe (0.0000, 0.0000, 0.4978)  2.33
Mg (0.5000, 0.5000, 0.7255)  -0.01
Ta (0.0000, 0.0000, 0.0063)  -0.01
Ta (0.5000, 0.5000, 0.2704)  -0.01

Compound: MgTa2Fe2
Source: Alexandria
Functional: PBE
Structure: relaxed

## Properties
DFT formation energy	18	kJ per mole of atoms
DFT total energy	-82.6	eV/cell
ρ	10.56	g/cm³

Cell: 7.4166 7.4166 2.8463 Å, 90.00 90.00 90.00°
Positions (direct):
Mg (0.0000, 0.0000, 0.0000)
Mg (0.5000, 0.5000, 0.0000)
Fe (0.1475, 0.6475, 0.5000)
Fe (0.6475, 0.8525, 0.5000)
Fe (0.8525, 0.3525, 0.5000)
Fe (0.3525, 0.1475, 0.5000)
Ta (0.3537, 0.8537, 0.0000)
Ta (0.8537, 0.6463, 0.0000)
Ta (0.6463, 0.1463, 0.0000)
Ta (0.1463, 0.3537, 0.0000)

Compound: MgTa2Fe
Source: Alexandria
Functional: PBE
Structure: relaxed

## Properties
DFT formation energy	36	kJ per mole of atoms
DFT total energy	-32.3	eV/cell
ρ	11.17	g/cm³

Cell: 5.1263 5.1263 5.1263 Å, 135.29 135.29 65.07°
Site moments in Bohr magnetons follow the coordinates.
Positions (direct):
Fe (0.5000, 0.5000, 0.0000)  1.63
Mg (0.7500, 0.2500, 0.5000)  0.00
Ta (0.0000, 0.0000, 0.0000)  -0.16
Ta (0.2500, 0.7500, 0.5000)  -0.07

Compound: MgTaFe
Source: Alexandria
Functional: PBE
Structure: relaxed

## Properties
DFT formation energy	22	kJ per mole of atoms
DFT total energy	-21.2	eV/cell
ρ	8.76	g/cm³

Cell: 6.9773 6.8171 2.7938 Å, 81.55 75.11 23.33°
Site moments in Bohr magnetons follow the coordinates.
Positions (direct):
Fe (0.0052, 0.0052, 0.9948)  2.11
Mg (0.3439, 0.3439, 0.6561)  -0.01
Ta (0.6510, 0.6510, 0.3490)  -0.07

Compound: MgTa2Fe2
Source: Alexandria
Functional: PBE
Structure: relaxed

## Properties
DFT formation energy	2	kJ per mole of atoms
DFT total energy	-84.2	eV/cell
ρ	10.74	g/cm³

Cell: 7.2175 7.2175 2.9549 Å, 90.00 90.00 90.00°
Positions (direct):
Mg (0.0000, 0.0000, 0.0000)
Mg (0.5000, 0.5000, 0.0000)
Fe (0.3620, 0.8620, 0.0000)
Fe (0.8620, 0.6380, 0.0000)
Fe (0.6380, 0.1380, 0.0000)
Fe (0.1380, 0.3620, 0.0000)
Ta (0.1556, 0.6556, 0.5000)
Ta (0.6556, 0.8444, 0.5000)
Ta (0.8444, 0.3444, 0.5000)
Ta (0.3444, 0.1556, 0.5000)

Compound: MgTaFe2
Source: Alexandria
Functional: PBE
Structure: relaxed

## Properties
DFT formation energy	3	kJ per mole of atoms
DFT total energy	-30.3	eV/cell
ρ	9.30	g/cm³

Cell: 3.0487 3.0487 6.8130 Å, 63.39 90.00 90.00°
Site moments in Bohr magnetons follow the coordinates.
Positions (direct):
Fe (0.0000, 0.0197, 0.9805)  0.37
Fe (0.0000, 0.4803, 0.5195)  0.37
Mg (0.5000, 0.2500, 0.2500)  -0.01
Ta (0.5000, 0.7500, 0.7500)  -0.11

Compound: MgTa2Fe
Source: Alexandria
Functional: PBE
Structure: relaxed

## Properties
DFT formation energy	21	kJ per mole of atoms
DFT total energy	-32.9	eV/cell
ρ	11.30	g/cm³

Cell: 5.3594 5.3594 5.3594 Å, 146.90 128.66 62.45°
Positions (direct):
Fe (0.4911, 0.4911, 0.0000)
Mg (0.7233, 0.2233, 0.5000)
Ta (0.0070, 0.0070, 0.0000)
Ta (0.2785, 0.7785, 0.5000)